No. 1
First-principles (GGA-PBEsol) data for a relaxed La2W2O9 crystal, as listed in Alexandria via LeMat-Bulk.

abc: 6.9867 7.2450 7.3073
angles: 70.63 84.78 83.21
Last column: nearest neighbours and their distance in Å.
Space group P-1 (No. 2)
Unique sites:
La 0.1220 0.2745 0.4039  9 O 2.51-2.78
La 0.3447 0.7407 0.8456  9 O 2.43-2.64
W 0.2247 0.2691 0.9415  4 O 1.80-1.97
W 0.3417 0.7963 0.3568  5 O 1.82-1.92
O 0.0061 0.2320 0.0976  1 W 1.81
O 0.1503 0.6457 0.3596  1 W 1.82
O 0.1617 0.4916 0.7466  1 W 1.80
O 0.1805 0.9049 0.5310  1 W 1.92
O 0.2292 0.0806 0.8259  1 W 1.82
O 0.3137 0.4207 0.0910  1 W 1.97
O 0.3537 0.0590 0.2017  1 W 1.87
O 0.4752 0.2945 0.4653  1 W 1.82
O 0.4835 0.7274 0.1502  2 W 1.90-2.09

The energy relative to the elements, uncorrected is -2.7938 eV per atom. For the total moment, the calculation gives 0.000 μB/cell. The electronic total energy is -9.375 eV per atom.

***

No. 2
First-principles (GGA-PBEsol) data for a relaxed LiYAg2 crystal, as listed in Alexandria via LeMat-Bulk.

abc: 3.4011 3.4011 6.6692
angles: 90.00 90.00 90.00
Last column: nearest neighbours and their distance in Å.
Space group P4/mmm (No. 123)
Unique sites:
Li 0.0000 0.0000 0.0000  8 Ag 2.79
Y 0.0000 0.0000 0.5000  8 Ag 3.08, 2 Li 3.33, 4 Y 3.40
Ag 0.5000 0.5000 0.2125  4 Li 2.79, 1 Ag 2.83, 4 Y 3.08

For the total moment, the calculation gives 0.000 μB/cell. The electronic total energy is -4.085 eV per atom.

***

No. 3
First-principles (GGA-PBEsol) data for a relaxed ZnIr4 crystal, as listed in Alexandria via LeMat-Bulk.

abc: 6.0216 6.0216 3.8356
angles: 90.00 90.00 90.00
Last column: nearest neighbours and their distance in Å.
Space group I4/m (No. 87)
Unique sites:
Zn 0.0000 0.0000 0.0000  12 Ir 2.66-2.72
Ir 0.1035 0.6962 0.5000  3 Zn 2.66-2.72, 9 Ir 2.67-2.73

For the total moment, the calculation gives 0.000 μB/cell. The electronic total energy is -8.209 eV per atom.

***

No. 4
First-principles (GGA-PBEsol) data for a relaxed Be2PBr crystal, as listed in Alexandria via LeMat-Bulk.

abc: 5.1429 5.1429 10.3328
angles: 90.00 90.00 90.00
Last column: nearest neighbours and their distance in Å.
Space group I-42d (No. 122)
Unique sites:
Be 0.1982 0.2500 0.1250  2 P 2.09
P 0.0000 0.0000 0.0000  4 Be 2.09
Br 0.0000 0.0000 0.5000  4 Be 2.39

The energy relative to the elements, uncorrected is -0.3903 eV per atom. For the total moment, the calculation gives 0.000 μB/cell. The electronic total energy is -4.306 eV per atom. The relative energy among the computed polymorphs comes out at 0.00 kcal/mol of atoms.

***

No. 5
First-principles (GGA-PBEsol) data for a relaxed Ho2InFe2 crystal, as listed in Alexandria via LeMat-Bulk.

abc: 3.6915 13.2453 4.0003
angles: 90.00 90.00 90.00
Last column: nearest neighbours and their distance in Å.
Space group Cmmm (No. 65)
Unique sites:
Ho 0.0000 0.1377 0.0000  6 Fe 2.82-2.89
In 0.0000 0.5000 0.5000  2 Fe 2.81
Fe 0.0000 0.2880 0.5000  2 Fe 2.10

For the total moment, the calculation gives 0.012 μB/cell. The electronic total energy is -6.401 eV per atom.

***

No. 6
First-principles (GGA-PBEsol) data for a relaxed BeTlPt2 crystal, as listed in Alexandria via LeMat-Bulk.

abc: 2.9150 4.3087 5.3218
angles: 90.00 105.75 90.00
Last column: nearest neighbours and their distance in Å.
Space group Pm (No. 6)
Unique sites:
Be 0.0000 0.0000 0.0000  4 Pt 2.22-2.34
Tl 0.3198 0.5000 0.6414  7 Pt 2.74-2.98, 2 Tl 2.91
Pt 0.0521 0.5000 0.1060  2 Be 2.22
Pt 0.6767 0.0000 0.3577  2 Be 2.34

For the total moment, the calculation gives 0.000 μB/cell. The electronic total energy is -5.189 eV per atom. The relative energy among the computed polymorphs comes out at 2.30 kcal/mol of atoms.

***

No. 7
First-principles (GGA-PBEsol) data for a relaxed Tl3Te2 crystal, as listed in Alexandria via LeMat-Bulk.

abc: 5.3486 5.3486 6.8725
angles: 90.00 90.00 120.00
Last column: nearest neighbours and their distance in Å.
Space group P-3m1 (No. 164)
Unique sites:
Tl 0.0000 0.0000 0.0000  6 Te 3.44, 6 Tl 3.78
Tl 0.3333 0.6667 0.3163  4 Te 3.16-3.19
Te 0.3333 0.6667 0.7802  7 Tl 3.16-3.44

The energy relative to the elements, uncorrected is -0.1798 eV per atom. For the total moment, the calculation gives 0.000 μB/cell. The electronic total energy is -3.168 eV per atom.

***

No. 8
First-principles (GGA-PBEsol) data for a relaxed Sr2CaBBr crystal, as listed in Alexandria via LeMat-Bulk.

abc: 5.7007 5.7007 5.3284
angles: 90.00 90.00 90.00
Last column: nearest neighbours and their distance in Å.
Space group P4/mmm (No. 123)
Unique sites:
Sr 0.0000 0.5000 0.0000  2 Br 2.85
Ca 0.0000 0.0000 0.5000  2 Br 2.66
B 0.5000 0.5000 0.5000  8 Sr 3.90, 4 Ca 4.03
Br 0.0000 0.0000 0.0000  2 Ca 2.66, 4 Sr 2.85

The energy relative to the elements, uncorrected is 0.4563 eV per atom. For the total moment, the calculation gives 0.001 μB/cell. The electronic total energy is -2.484 eV per atom.

***

No. 9
First-principles (GGA-PBEsol) data for a relaxed CaZrBi crystal, as listed in Alexandria via LeMat-Bulk.

abc: 4.4023 4.4023 8.3670
angles: 90.00 90.00 90.00
Last column: nearest neighbours and their distance in Å.
Space group P4/nmm (No. 129, origin choice 2)
Unique sites:
Ca 0.2500 0.2500 0.1594  5 Bi 3.18-3.33
Zr 0.2500 0.7500 0.5000  4 Bi 3.11, 4 Zr 3.11
Bi 0.2500 0.2500 0.7618  4 Zr 3.11, 5 Ca 3.18-3.33

For the total moment, the calculation gives 0.000 μB/cell. The electronic total energy is -5.794 eV per atom.

***

No. 10
First-principles (GGA-PBEsol) data for a relaxed MgScCd crystal, as listed in Alexandria via LeMat-Bulk.

abc: 4.8380 4.8380 3.1846
angles: 90.00 90.00 120.00
Last column: nearest neighbours and their distance in Å.
Space group P-6m2 (No. 187)
Unique sites:
Mg 0.0000 0.0000 0.0000  3 Cd 2.79
Sc 0.6667 0.3333 0.5000  2 Sc 3.18, 6 Mg 3.22, 6 Cd 3.22
Cd 0.3333 0.6667 0.0000  3 Mg 2.79

For the total moment, the calculation gives 0.002 μB/cell. The electronic total energy is -3.348 eV per atom.

***

No. 11
First-principles (GGA-PBEsol) data for a relaxed K3Si crystal, as listed in Alexandria via LeMat-Bulk.

abc: 4.2043 4.2043 38.3466
angles: 90.00 90.00 120.00
Last column: nearest neighbours and their distance in Å.
Space group R-3m (No. 166, hexagonal axes)
Unique sites:
K 0.0000 0.0000 0.0000  6 K 4.20
K 0.0000 0.0000 0.2258  3 Si 3.32
Si 0.0000 0.0000 0.5000  6 K 3.32

The energy relative to the elements, uncorrected is 0.4509 eV per atom. For the total moment, the calculation gives 0.708 μB/cell. The electronic total energy is -1.836 eV per atom.

***

No. 12
First-principles (GGA-PBEsol) data for a relaxed LiCuAg2 crystal, as listed in Alexandria via LeMat-Bulk.

abc: 2.7756 2.7756 7.6199
angles: 90.00 90.00 90.00
Last column: nearest neighbours and their distance in Å.
Space group P4/mmm (No. 123)
Unique sites:
Li 0.0000 0.0000 0.0000  4 Li 2.78, 8 Ag 2.79
Cu 0.0000 0.0000 0.5000  8 Ag 2.68, 4 Cu 2.78
Ag 0.5000 0.5000 0.2605  4 Cu 2.68, 4 Ag 2.78, 4 Li 2.79

For the total moment, the calculation gives 0.000 μB/cell. The electronic total energy is -3.266 eV per atom.